Below is V8Ge3As2 after structural relaxation, with properties calculated at the PBE level.

Summary:
- E: -7.381 eV/atom
- Space-group type: Cmmm
- Crystal system: orthorhombic
- M_tot: 0.0 μB per formula unit
- Calculated formation energy: 1.05 kJ/mol of atoms

a = 7.9566 Å, b = 7.9566 Å, c = 4.0032 Å
α = 90.00°, β = 90.00°, γ = 129.24°
Fractional coordinates of all 13 atoms:
V: 0.1314 0.8686 0.0000
V: 0.1590 0.3931 0.5000
V: 0.3465 0.6535 0.0000
V: 0.3931 0.1590 0.5000
V: 0.6069 0.8410 0.5000
V: 0.6535 0.3465 0.0000
V: 0.8410 0.6069 0.5000
V: 0.8686 0.1314 0.0000
Ge: 0.0000 0.0000 0.5000
Ge: 0.2994 0.2994 0.0000
Ge: 0.7006 0.7006 0.0000
As: 0.2385 0.7615 0.5000
As: 0.7615 0.2385 0.5000